[1]
Entry from the Alexandria database: a geometry-optimized Sc2NiPd2 structure (GGA-PBE).

Results
The uncorrected energy comes out at -0.469 Ry per atom.

Cell: 3.444 15.558 3.264 Å, 90.00 90.00 90.00°
Space group Cmmm (No. 65)
One atom of each set of equivalent atoms:
Sc 0.000 0.100 0.000 x4
Ni 0.000 0.500 0.500 x2
Pd 0.000 0.318 0.500 x4


[2]
Entry from the Alexandria database: a geometry-optimized Sc4Ni3Pd2 structure (GGA-PBE).

Results
The uncorrected energy comes out at -0.475 Ry per atom.

Cell: 8.594 4.326 8.134 Å, 90.00 102.16 90.00°
Space group C2/m (No. 12)
One atom of each set of equivalent atoms:
Sc 0.067 0.000 0.348 x4
Sc 0.143 0.500 0.887 x4
Ni 0.000 0.000 0.000 x2
Ni 0.137 0.500 0.560 x4
Pd 0.217 0.500 0.240 x4


[3]
Entry from the Alexandria database: a geometry-optimized Sc2Ni9Pd structure (GGA-PBE).

Results
The uncorrected energy comes out at -0.446 Ry per atom.

Cell: 4.8022 4.8022 23.4541 Å, 90.00 90.00 120.00°
Space group R-3m (No. 166, hexagonal axes)
One atom of each set of equivalent atoms:
Sc 0.0000 0.0000 0.1347 x6
Ni 0.0000 0.0000 0.3334 x6
Ni 0.0000 0.0000 0.5000 x3
Ni 0.0031 0.5016 0.9161 x18
Pd 0.0000 0.0000 0.0000 x3


[4]
Entry from the Alexandria database: a geometry-optimized ScTaNi2Pd structure (GGA-PBE).

Results
The uncorrected energy comes out at -0.416 Ry per atom.

Cell: 4.290 4.290 4.885 Å, 90.00 90.00 90.00°
Space group P4/mmm (No. 123)
One atom of each set of equivalent atoms:
Sc 0.000 0.000 0.000 x1
Ta 0.000 0.000 0.500 x1
Ni 0.000 0.500 0.000 x2
Pd 0.500 0.500 0.500 x1


[5]
Entry from the Alexandria database: a geometry-optimized ScTcNi2Pd structure (GGA-PBE).

Results
The uncorrected energy comes out at -0.430 Ry per atom.

Cell: 4.448 4.448 4.798 Å, 90.00 90.00 90.00°
Space group P4/mmm (No. 123)
One atom of each set of equivalent atoms:
Sc 0.000 0.000 0.000 x1
Tc 0.000 0.000 0.500 x1
Ni 0.000 0.500 0.500 x2
Pd 0.500 0.500 0.000 x1


[6]
Entry from the Alexandria database: a geometry-optimized ScTlNiPd structure (GGA-PBE).

Results
The uncorrected energy comes out at -0.391 Ry per atom.

Cell: 6.513 6.513 6.513 Å, 90.00 90.00 90.00°
Space group F-43m (No. 216)
One atom of each set of equivalent atoms:
Sc 0.000 0.000 0.000 x4
Tl 0.000 0.000 0.500 x4
Ni 0.250 0.250 0.250 x4
Pd 0.250 0.250 0.750 x4


In order of appearance, spin magnetization = 0.000; 0.000; 6.871; 0.368; 0.000; 0.000 μB/cell.